Material: Na3DySn12
Method: DFT, PBE
State: optimized geometry

Total energy, eV per atom: -3.73
Formation energy from the elements, eV per atom: -0.1881

```
Na3DySn12
1.0
4.665 0.000 0.000
0.000 4.665 0.000
0.000 0.000 19.478
Na Dy Sn
3 1 12
direct
0.000 0.000 0.248
0.000 0.000 0.500
0.000 0.000 0.752
0.000 0.000 0.000
0.500 0.500 0.000
0.500 0.500 0.251
0.500 0.500 0.500
0.500 0.500 0.749
0.500 0.000 0.125
0.500 0.000 0.375
0.500 0.000 0.625
0.500 0.000 0.875
0.000 0.500 0.125
0.000 0.500 0.375
0.000 0.500 0.625
0.000 0.500 0.875
```